[1]
Material: La6PmRu4
Method: DFT, GGA-PBE
State: relaxed

Its space-group type is P1 (1).

a b c (Å): 6.8253 7.2675 8.9863
angles (deg): 125.58 108.59 100.15
Positions (direct):
Ru (0.4711, 0.0180, 0.2466)
Ru (0.5294, 0.6441, 0.8820)
Ru (0.0176, 0.9003, 0.6654)
Ru (0.0728, 0.5215, 0.2981)
Pm (0.0188, 0.9780, 0.0359)
La (0.4348, 0.1173, 0.5756)
La (0.7772, 0.7727, 0.2714)
La (0.5253, 0.0890, 0.9892)
La (0.5215, 0.5707, 0.5072)
La (0.1169, 0.4337, 0.9721)
La (0.0147, 0.4547, 0.5562)



[2]
Material: La3Pm4Ru4
Method: DFT, GGA-PBE
State: relaxed

Its space-group type is Immm (71).

a b c (Å): 3.8338 9.0921 9.5435
angles (deg): 118.45 101.59 90.00
Positions (direct):
Pm (0.6676, 0.4789, 0.3352)
Pm (0.3324, 0.1438, 0.6648)
Pm (0.3324, 0.5211, 0.6648)
Pm (0.6676, 0.8562, 0.3352)
Ru (0.7458, 0.2458, 0.4917)
Ru (0.5000, 0.2373, 0.0000)
Ru (0.2542, 0.7542, 0.5083)
Ru (0.5000, 0.7627, 0.0000)
La (0.0000, 0.5000, 0.0000)
La (0.0984, 0.0984, 0.1969)
La (0.9016, 0.9016, 0.8031)



[3]
Material: La4PmRu
Method: DFT, GGA-PBE
State: relaxed

The distance to the lowest polymorph of the same formula comes out at 288 meV per atom. Its space-group type is P4/mmm (123).

a b c (Å): 4.9500 4.9500 8.7017
angles (deg): 90.00 90.00 90.00
Positions (direct):
La (0.0000, 0.5000, 0.3031)
La (0.5000, 0.0000, 0.6969)
La (0.5000, 0.0000, 0.3031)
La (0.0000, 0.5000, 0.6969)
Ru (0.5000, 0.5000, 0.5000)
Pm (0.0000, 0.0000, 0.0000)



[4]
Material: La2Pm5Ru4
Method: DFT, GGA-PBE
State: relaxed

Its space-group type is C2/m (12).

a b c (Å): 6.9483 7.2713 8.1503
angles (deg): 74.45 64.77 61.46
Positions (direct):
La (0.2817, 0.8403, 0.5963)
La (0.7183, 0.1597, 0.4037)
Ru (0.6722, 0.9623, 0.6934)
Ru (0.2142, 0.4149, 0.1567)
Ru (0.3278, 0.0377, 0.3066)
Ru (0.7858, 0.5851, 0.8433)
Pm (0.3352, 0.7492, 0.0994)
Pm (0.0000, 0.5000, 0.5000)
Pm (0.1837, 0.2508, 0.9006)
Pm (0.6648, 0.2508, 0.9006)
Pm (0.8163, 0.7492, 0.0994)



[5]
Material: LaPmRu2
Method: DFT, GGA-PBE
State: relaxed

Its space-group type is Fm-3m (225).

a b c (Å): 4.9791 4.9791 4.9791
angles (deg): 60.00 60.00 60.00
Positions (direct):
Ru (0.7500, 0.7500, 0.7500)
Ru (0.2500, 0.2500, 0.2500)
La (0.5000, 0.5000, 0.5000)
Pm (0.0000, 0.0000, 0.0000)



[6]
Material: La4PmRu2
Method: DFT, GGA-PBE
State: relaxed

Its space-group type is P2_1/m (11).

a b c (Å): 6.8177 8.1011 7.9291
angles (deg): 111.75 90.00 90.00
Positions (direct):
La (0.0021, 0.4163, 0.7615)
La (0.9979, 0.5837, 0.2385)
La (0.2500, 0.2420, 0.3094)
La (0.5021, 0.5837, 0.2385)
La (0.2500, 0.9681, 0.6142)
La (0.7500, 0.0319, 0.3858)
La (0.4979, 0.4163, 0.7615)
La (0.7500, 0.7580, 0.6906)
Ru (0.7500, 0.3535, 0.4118)
Ru (0.2500, 0.2384, 0.9899)
Ru (0.7500, 0.7616, 0.0101)
Ru (0.2500, 0.6465, 0.5882)
Pm (0.2500, 0.8439, 0.9749)
Pm (0.7500, 0.1561, 0.0251)



[7]
Material: La3Pm3Ru2
Method: DFT, GGA-PBE
State: relaxed

Its space-group type is Cmcm (63).

a b c (Å): 5.3761 6.6990 14.6253
angles (deg): 90.00 90.00 113.66
Positions (direct):
La (0.9434, 0.8867, 0.1177)
La (0.6060, 0.2120, 0.2500)
La (0.9434, 0.8867, 0.3823)
La (0.0566, 0.1133, 0.8823)
La (0.3940, 0.7880, 0.7500)
La (0.0566, 0.1133, 0.6177)
Pm (0.6568, 0.3135, 0.0126)
Pm (0.3432, 0.6865, 0.5126)
Pm (0.2979, 0.5958, 0.2500)
Pm (0.6568, 0.3135, 0.4874)
Pm (0.7021, 0.4042, 0.7500)
Pm (0.3432, 0.6865, 0.9874)
Ru (0.1526, 0.3052, 0.0983)
Ru (0.1526, 0.3052, 0.4017)
Ru (0.8474, 0.6948, 0.9017)
Ru (0.8474, 0.6948, 0.5983)



[8]
Material: La5PmRu3
Method: DFT, GGA-PBE
State: relaxed

Its space-group type is P2/m (10).

a b c (Å): 4.2371 6.7379 19.9654
angles (deg): 90.07 90.00 90.00
Positions (direct):
Ru (0.0000, 0.0066, 0.3349)
Ru (0.5000, 0.5000, 0.5000)
Ru (0.0000, 0.0000, 0.0000)
Ru (0.0000, 0.9934, 0.6651)
Ru (0.5000, 0.4949, 0.1642)
Ru (0.5000, 0.5051, 0.8358)
La (0.5000, 0.1667, 0.9228)
La (0.0000, 0.3241, 0.4250)
La (0.5000, 0.1774, 0.5939)
La (0.0000, 0.6666, 0.9093)
La (0.5000, 0.8226, 0.4061)
La (0.0000, 0.3334, 0.0907)
La (0.5000, 0.8263, 0.7425)
La (0.5000, 0.1737, 0.2575)
La (0.5000, 0.8333, 0.0772)
La (0.0000, 0.6759, 0.5750)
Pm (0.0000, 0.6711, 0.2421)
Pm (0.0000, 0.3289, 0.7579)



Calculated DFT total energy in order - -6.707; -6.598; -5.420; -6.450; -7.150; -6.308; -6.103; -6.611 eV per atom
Calculated formation energy in order - -0.215; -0.154; 0.203; -0.021; -0.092; -0.164; -0.155; -0.254 eV/atom
Calculated density in order - 7.6; 8.2; 6.2; 7.2; 9.2; 7.4; 7.3; 6.7 g/cm3